Sr2CeTmBi4: relaxed, GGA-PBE.

Calculated values
ΔE_f: -769 meV/atom

CIF file:
```
data_Sr2CeTmBi4
_cell_length_a 7.998
_cell_length_b 4.657
_cell_length_c 8.199
_cell_angle_alpha 90.00
_cell_angle_beta 109.34
_cell_angle_gamma 90.00
_symmetry_space_group_name_H-M 'P 1 2/m 1'
_symmetry_Int_Tables_number 10
loop_
_symmetry_equiv_pos_as_xyz
'x,y,z'
'-x,-y,-z'
'-x,y,-z'
'x,-y,z'
loop_
_atom_site_label
_atom_site_type_symbol
_atom_site_fract_x
_atom_site_fract_y
_atom_site_fract_z
Sr1 Sr 0.000 0.000 0.000
Sr2 Sr 0.500 0.500 0.000
Ce1 Ce 0.000 0.500 0.500
Tm1 Tm 0.500 0.000 0.500
Bi1 Bi 0.244 0.000 0.724
Bi2 Bi 0.262 0.500 0.278
```



SmZrAl2: relaxed, GGA-PBE.

Calculated values
excess energy over the best structure of this formula in the dataset: 0.325 eV/f.u.
ΔE_f: -262 meV/atom

CIF file:
```
data_SmZrAl2
_cell_length_a 5.257
_cell_length_b 5.257
_cell_length_c 3.174
_cell_angle_alpha 90.00
_cell_angle_beta 90.00
_cell_angle_gamma 90.00
_symmetry_space_group_name_H-M 'P 4/m m m'
_symmetry_Int_Tables_number 123
_symmetry_space_group_name_Hall '-P 4 2'
loop_
_atom_site_label
_atom_site_type_symbol
_atom_site_fract_x
_atom_site_fract_y
_atom_site_fract_z
Sm1 Sm 0.000 0.000 0.000
Zr1 Zr 0.500 0.500 0.000
Al1 Al 0.000 0.500 0.500
```



Pm6Tl3Sn: relaxed, GGA-PBE.

Calculated values
ΔE_f: -281 meV/atom

CIF file:
```
data_Pm6Tl3Sn
_cell_length_a 11.956
_cell_length_b 3.837
_cell_length_c 14.430
_cell_angle_alpha 90.00
_cell_angle_beta 105.94
_cell_angle_gamma 90.00
_symmetry_space_group_name_H-M 'P 1 21/m 1'
_symmetry_Int_Tables_number 11
loop_
_symmetry_equiv_pos_as_xyz
'x,y,z'
'-x,-y,-z'
'-x,y+1/2,-z'
'x,-y+1/2,z'
loop_
_atom_site_label
_atom_site_type_symbol
_atom_site_fract_x
_atom_site_fract_y
_atom_site_fract_z
Pm1 Pm 0.006 0.250 0.174
Pm2 Pm 0.108 0.750 0.411
Pm3 Pm 0.237 0.250 0.825
Pm4 Pm 0.321 0.250 0.259
Pm5 Pm 0.360 0.250 0.630
Pm6 Pm 0.376 0.750 0.032
Tl1 Tl 0.118 0.750 0.636
Tl2 Tl 0.146 0.250 0.017
Tl3 Tl 0.391 0.750 0.451
Sn1 Sn 0.454 0.750 0.819
```



Re2RuRh: relaxed, GGA-PBE.

Calculated values
excess energy over the best structure of this formula in the dataset: 0.495 eV/f.u.
ΔE_f: -23 meV/atom

CIF file:
```
data_Re2RuRh
_cell_length_a 3.863
_cell_length_b 3.863
_cell_length_c 7.749
_cell_angle_alpha 90.00
_cell_angle_beta 90.00
_cell_angle_gamma 90.00
_symmetry_space_group_name_H-M 'I 4/m m m'
_symmetry_Int_Tables_number 139
_symmetry_space_group_name_Hall '-I 4 2'
loop_
_atom_site_label
_atom_site_type_symbol
_atom_site_fract_x
_atom_site_fract_y
_atom_site_fract_z
Re1 Re 0.000 0.500 0.250
Ru1 Ru 0.000 0.000 0.000
Rh1 Rh 0.000 0.000 0.500
```



NaTlInHg: relaxed, GGA-PBE.

Calculated values
ΔE_f: -122 meV/atom

CIF file:
```
data_NaTlInHg
_cell_length_a 7.511
_cell_length_b 7.511
_cell_length_c 7.511
_cell_angle_alpha 90.00
_cell_angle_beta 90.00
_cell_angle_gamma 90.00
_symmetry_space_group_name_H-M 'F -4 3 m'
_symmetry_Int_Tables_number 216
_symmetry_space_group_name_Hall 'F -4 2 3'
loop_
_atom_site_label
_atom_site_type_symbol
_atom_site_fract_x
_atom_site_fract_y
_atom_site_fract_z
Na1 Na 0.000 0.000 0.000
Tl1 Tl 0.250 0.250 0.250
In1 In 0.000 0.000 0.500
Hg1 Hg 0.250 0.250 0.750
```



ZnSi2Mo: relaxed, GGA-PBE.

Calculated values
formation energy from raw total energies: 0.4928 eV per atom

CIF file:
```
data_ZnSi2Mo
_cell_length_a 6.148
_cell_length_b 6.148
_cell_length_c 6.148
_cell_angle_alpha 90.00
_cell_angle_beta 90.00
_cell_angle_gamma 90.00
_symmetry_space_group_name_H-M 'F -4 3 m'
_symmetry_Int_Tables_number 216
_symmetry_space_group_name_Hall 'F -4 2 3'
loop_
_atom_site_label
_atom_site_type_symbol
_atom_site_fract_x
_atom_site_fract_y
_atom_site_fract_z
Zn1 Zn 0.000 0.000 0.000
Si1 Si 0.000 0.000 0.500
Si2 Si 0.250 0.250 0.250
Mo1 Mo 0.250 0.250 0.750
```



Rb3AuBr: relaxed, GGA-PBE.

Calculated values
excess energy over the best structure of this formula in the dataset: 0.000 eV/f.u.
formation energy from raw total energies: -0.7515 eV per atom

CIF file:
```
data_Rb3AuBr
_cell_length_a 9.856
_cell_length_b 4.787
_cell_length_c 10.634
_cell_angle_alpha 90.00
_cell_angle_beta 110.64
_cell_angle_gamma 90.00
_symmetry_space_group_name_H-M 'P 1 21/m 1'
_symmetry_Int_Tables_number 11
loop_
_symmetry_equiv_pos_as_xyz
'x,y,z'
'-x,-y,-z'
'-x,y+1/2,-z'
'x,-y+1/2,z'
loop_
_atom_site_label
_atom_site_type_symbol
_atom_site_fract_x
_atom_site_fract_y
_atom_site_fract_z
Rb1 Rb 0.100 0.250 0.275
Rb2 Rb 0.284 0.250 0.983
Rb3 Rb 0.340 0.750 0.613
Au1 Au 0.065 0.250 0.587
Br1 Br 0.369 0.750 0.278
```



In2Ga2Cl7: relaxed, GGA-PBE.

Calculated values
formation energy from raw total energies: -0.9181 eV per atom

CIF file:
```
data_In2Ga2Cl7
_cell_length_a 6.463
_cell_length_b 15.731
_cell_length_c 7.999
_cell_angle_alpha 90.00
_cell_angle_beta 96.52
_cell_angle_gamma 90.00
_symmetry_space_group_name_H-M 'P 1 21/c 1'
_symmetry_Int_Tables_number 14
loop_
_symmetry_equiv_pos_as_xyz
'x,y,z'
'-x,-y,-z'
'-x,y+1/2,-z+1/2'
'x,-y+1/2,z+1/2'
loop_
_atom_site_label
_atom_site_type_symbol
_atom_site_fract_x
_atom_site_fract_y
_atom_site_fract_z
In1 In 0.115 0.152 0.408
Ga1 Ga 0.355 0.613 0.653
Cl1 Cl 0.112 0.686 0.481
Cl2 Cl 0.202 0.559 0.873
Cl3 Cl 0.391 0.205 0.741
Cl4 Cl 0.500 0.000 0.000
```



Hg6BiPb8: relaxed, GGA-PBE.

Calculated values
ΔE_f: 52 meV/atom

CIF file:
```
data_Hg6BiPb8
_cell_length_a 6.448
_cell_length_b 8.828
_cell_length_c 9.166
_cell_angle_alpha 118.47
_cell_angle_beta 94.28
_cell_angle_gamma 96.57
_symmetry_space_group_name_H-M 'P -1'
_symmetry_Int_Tables_number 2
loop_
_symmetry_equiv_pos_as_xyz
'x,y,z'
'-x,-y,-z'
loop_
_atom_site_label
_atom_site_type_symbol
_atom_site_fract_x
_atom_site_fract_y
_atom_site_fract_z
Hg1 Hg 0.067 0.060 0.373
Hg2 Hg 0.078 0.333 0.857
Hg3 Hg 0.109 0.592 0.410
Bi1 Bi 0.500 0.000 0.500
Pb1 Pb 0.156 0.204 0.116
Pb2 Pb 0.360 0.876 0.793
Pb3 Pb 0.412 0.704 0.080
Pb4 Pb 0.413 0.432 0.641
```



Ba6RhCl: relaxed, GGA-PBE.

Calculated values
formation energy from raw total energies: -0.5490 eV per atom

CIF file:
```
data_Ba6RhCl
_cell_length_a 7.893
_cell_length_b 7.903
_cell_length_c 8.820
_cell_angle_alpha 63.53
_cell_angle_beta 63.50
_cell_angle_gamma 60.08
_symmetry_space_group_name_H-M 'P -1'
_symmetry_Int_Tables_number 2
loop_
_symmetry_equiv_pos_as_xyz
'x,y,z'
'-x,-y,-z'
loop_
_atom_site_label
_atom_site_type_symbol
_atom_site_fract_x
_atom_site_fract_y
_atom_site_fract_z
Ba1 Ba 0.080 0.398 0.263
Ba2 Ba 0.240 0.922 0.737
Ba3 Ba 0.399 0.759 0.264
Rh1 Rh 0.000 0.000 0.500
Cl1 Cl 0.500 0.500 0.000
```